Entry 1:
## Th5U2S12 (GGA-PBE)

Data for a relaxed structure of Th5U2S12.

Properties
DOS at the Fermi energy	0.38	states/eV per atom
total magnetic moment	0.095	μB/atom

Cell lengths 6.9054, 8.6358, 8.9766 Å; angles 103.84, 90.00, 113.57 degrees
Each line ends with the local moment (μB).
Fractional coordinates of all 19 atoms:
1 U 0.3203 0.0000 0.0000  0.82
2 U 0.6797 0.0000 0.0000  0.82
3 S 0.5724 0.6498 0.9034  0.00
4 S 0.0088 0.0175 0.8105  -0.01
5 S 0.0851 0.6892 0.4263  0.00
6 S 0.6040 0.6892 0.4263  0.00
7 S 0.5056 0.0111 0.2837  -0.01
8 S 0.0774 0.6498 0.9034  0.00
9 S 0.3960 0.3108 0.5737  0.00
10 S 0.9912 0.9825 0.1895  -0.01
11 S 0.4276 0.3502 0.0966  0.00
12 S 0.4944 0.9889 0.7163  -0.01
13 S 0.9149 0.3108 0.5737  0.00
14 S 0.9226 0.3502 0.0966  0.00
15 Th 0.3212 0.6425 0.1611  0.02
16 Th 0.3090 0.6180 0.6513  0.02
17 Th 0.6910 0.3820 0.3487  0.02
18 Th 0.6788 0.3575 0.8389  0.02
19 Th 0.0000 0.0000 0.5000  0.00

=====

Entry 2:
## LiSbS6 (GGA-PBE)

Data for a relaxed structure of LiSbS6.

Properties
DOS at the Fermi energy	0.24	states/eV per atom
total magnetic moment	0.000	μB/atom

Cell lengths 11.1378, 9.4612, 7.9880 Å; angles 68.78, 80.76, 18.27 degrees
Fractional coordinates of all 8 atoms:
1 S 0.4277 0.9700 0.0040
2 S 0.5218 0.8454 0.7893
3 S 0.5723 0.0300 0.9960
4 S 0.8598 0.0706 0.3057
5 S 0.4782 0.1546 0.2107
6 S 0.1402 0.9294 0.6943
7 Li 0.5000 0.5000 0.5000
8 Sb 0.0000 0.0000 0.0000

=====

Entry 3:
## NaHgW3 (GGA-PBE)

Data for a relaxed structure of NaHgW3.

Properties
DOS at the Fermi energy	1.08	states/eV per atom
total magnetic moment	0.000	μB/atom
formation enthalpy at 0 K	2.9576	eV/atom

Cell lengths 4.5541, 4.5541, 4.5541 Å; angles 90.00, 90.00, 90.00 degrees
Fractional coordinates of all 5 atoms:
1 Na 0.0000 0.0000 0.0000
2 Hg 0.5000 0.5000 0.5000
3 W 0.0000 0.5000 0.0000
4 W 0.0000 0.0000 0.5000
5 W 0.5000 0.0000 0.0000

=====

What total DFT energy (no corrections) values result from the calculations? In sequence: -7.459, -3.998, -5.139 eV per atom.